[1]
! meta-GGA SCAN SrH2O, single point on PBEsol structure; values from VASP
! Energy = -9.4044 eV per atom
! Symmetry = I4_1/amd, No. 141
! Calculated volume = 103 Å³ per cell
! M_tot = 0.108 μB/atom
&SYSTEM
  ibrav = 0, nat = 8, ntyp = 3
/
ATOMIC_SPECIES
Sr 87.62 Sr.upf
O 16.00 O.upf
H 1.01 H.upf
ATOMIC_POSITIONS crystal
Sr 0.000 0.000 0.000
Sr 0.250 0.750 0.500
O 0.500 0.500 0.000
O 0.750 0.250 0.500
H 0.625 0.375 0.750
H 0.125 0.375 0.750
H 0.625 0.875 0.250
H 0.625 0.375 0.250
CELL_PARAMETERS angstrom
3.404 0.000 0.000
0.000 3.404 0.000
-1.702 -1.702 8.927


[2]
! meta-GGA SCAN Mg2Co, single point on PBEsol structure; values from VASP
! Energy = -8.8976 eV per atom
! Symmetry = P-3m1, No. 164
! Calculated volume = 50 Å³ per cell
! M_tot = 0.468 μB/atom
! Calculated formation energy = 0.186 eV/atom
&SYSTEM
  ibrav = 0, nat = 3, ntyp = 2
/
ATOMIC_SPECIES
Co 58.93 Co.upf
Mg 24.30 Mg.upf
ATOMIC_POSITIONS crystal
Co 0.000 0.000 0.000
Mg 0.333 0.667 0.297
Mg 0.667 0.333 0.703
CELL_PARAMETERS angstrom
2.911 0.000 0.000
-1.455 2.521 0.000
0.000 0.000 6.767


[3]
! meta-GGA SCAN BeFeB3, single point on PBEsol structure; values from VASP
! Energy = -7.8681 eV per atom
! Symmetry = Pm-3m, No. 221
! Calculated volume = 50 Å³ per cell
! M_tot = 0.000 μB/atom
! Calculated formation energy = 1.086 eV/atom
&SYSTEM
  ibrav = 0, nat = 5, ntyp = 3
/
ATOMIC_SPECIES
Be 9.01 Be.upf
B 10.81 B.upf
Fe 55.84 Fe.upf
ATOMIC_POSITIONS crystal
Be 0.500 0.500 0.500
B 0.000 0.500 0.000
B 0.000 0.000 0.500
B 0.500 0.000 0.000
Fe 0.000 0.000 0.000
CELL_PARAMETERS angstrom
3.688 0.000 0.000
0.000 3.688 0.000
0.000 0.000 3.688


[4]
! meta-GGA SCAN BaMoRh2, single point on PBEsol structure; values from VASP
! Energy = -34.7400 eV per atom
! Symmetry = Fm-3m, No. 225
! Calculated volume = 74 Å³ per cell
! Excess energy over the best structure of this formula in the dataset = 138.3 kJ/mol of formula units
! M_tot = 0.594 μB/atom
! Calculated formation energy = 0.755 eV/atom
&SYSTEM
  ibrav = 0, nat = 4, ntyp = 3
/
ATOMIC_SPECIES
Ba 137.33 Ba.upf
Mo 95.94 Mo.upf
Rh 102.91 Rh.upf
ATOMIC_POSITIONS crystal
Ba 0.500 0.500 0.500
Mo 0.000 0.000 0.000
Rh 0.750 0.750 0.750
Rh 0.250 0.250 0.250
CELL_PARAMETERS angstrom
-4.464 -1.345 0.742
-2.428 -2.130 -3.444
-1.057 -4.589 0.347


- The highest energy belongs to which entry?
  BeFeB3